Record 1
This record from Alexandria describes crystalline Ba12Sr7Ca at its relaxed geometry. The functional is PBE.

Calculated values
DOS at the Fermi energy: 38.57 states/eV/f.u.
Excess energy over the best structure of this formula in the dataset: 0 meV/atom
M_tot: 0.002 Bohr magnetons per cell
SG: No. 148

```
20
Lattice="-8.166 11.049 -2.520 -6.385 -11.665 4.275 12.579 2.625 5.477" Properties=species:S:1:pos:R:3 pbc="T T T"
Sr -4.873 0.517 5.609
Sr 2.901 1.491 1.622
Sr 0.761 -0.395 7.399
Ba -8.459 -5.293 3.028
Ba -5.222 -0.373 1.621
Sr -2.733 2.403 -0.167
Ba 6.487 7.302 4.203
Ba 3.250 2.382 5.610
Sr -0.986 1.004 3.616
Ca 0.000 0.000 0.000
Ba 2.230 -2.606 4.274
Sr -1.053 -2.994 1.790
Sr -0.919 5.002 5.442
Ba -4.202 4.615 2.958
Ba 0.901 5.108 1.769
Ba -2.094 10.205 0.459
Ba -2.874 -3.099 5.463
Ba 0.122 -8.196 6.773
Ba -9.780 4.124 0.650
Ba 7.807 -2.115 6.582
```

---

Record 2
This record from Alexandria describes crystalline Ti5ZnIn2Fe2 at its relaxed geometry. The functional is PBE.

Calculated values
Total energy: -6.50 eV/atom
DOS at the Fermi energy: 6.52 states/eV/f.u.
M_tot: 0.000 Bohr magnetons per cell
SG: No. 127

```
20
Lattice="3.093 0.000 0.000 0.000 10.338 0.000 0.000 0.000 10.338" Properties=species:S:1:pos:R:3 pbc="T T T"
Ti 1.547 5.169 0.000
In 0.000 3.370 8.539
Fe 0.000 9.006 3.837
Ti 1.547 3.038 5.879
Ti 1.547 5.879 7.301
Fe 0.000 6.501 9.006
Ti 1.547 0.000 5.169
Ti 1.547 7.301 4.459
Ti 1.547 4.459 3.038
Ti 1.547 8.207 9.628
In 0.000 1.799 3.370
In 0.000 6.968 1.799
Ti 1.547 2.132 0.710
In 0.000 8.539 6.968
Fe 0.000 1.332 6.501
Fe 0.000 3.837 1.332
Ti 1.547 0.710 8.207
Ti 1.547 9.628 2.132
Zn 0.000 5.169 5.169
Zn 0.000 0.000 0.000
```